[1]
VASP calculation (PBE) on a relaxed structure of HfAg2Au6.

```
data_HfAg2Au6
_space_group_name_H-M_alt 'C 1 2/c 1'
_space_group_IT_number 15
_cell_length_a 13.311
_cell_length_b 10.112
_cell_length_c 5.035
_cell_angle_alpha 90.00
_cell_angle_beta 100.36
_cell_angle_gamma 90.00
loop_
_space_group_symop_operation_xyz
'x,y,z'
'-x,-y,-z'
'-x,y,-z+1/2'
'x,-y,z+1/2'
'x+1/2,y+1/2,z'
'-x+1/2,-y+1/2,-z'
'-x+1/2,y+1/2,-z+1/2'
'x+1/2,-y+1/2,z+1/2'
loop_
_atom_site_label
_atom_site_type_symbol
_atom_site_fract_x
_atom_site_fract_y
_atom_site_fract_z
Hf1 Hf 0.000 0.135 0.250
Ag1 Ag 0.169 0.372 0.078
Au1 Au 0.056 0.376 0.525
Au2 Au 0.108 0.115 0.804
Au3 Au 0.221 0.129 0.365
```

The calculation puts the total energy at -147.89 eV per cell. Its density is 15.7 Mg/m³. The formation energy is -0.184 eV per atom.

---

[2]
VASP calculation (PBE) on a relaxed structure of HfAgAu2.

```
data_HfAgAu2
_space_group_name_H-M_alt 'R -3 m'
_space_group_IT_number 166
_space_group_name_Hall '-R 3 2"'
_cell_length_a 3.4716
_cell_length_b 3.4716
_cell_length_c 23.8345
_cell_angle_alpha 90.00
_cell_angle_beta 90.00
_cell_angle_gamma 120.00
loop_
_atom_site_label
_atom_site_type_symbol
_atom_site_fract_x
_atom_site_fract_y
_atom_site_fract_z
Hf1 Hf 0.0000 0.0000 0.0000
Ag1 Ag 0.0000 0.0000 0.5000
Au1 Au 0.0000 0.0000 0.2533
```

The calculation puts the total energy at -60.14 eV per cell. Its density is 13.6 Mg/m³. The formation energy is -0.172 eV per atom.

---

[3]
VASP calculation (PBE) on a relaxed structure of HfAgAu2.

```
data_HfAgAu2
_space_group_name_H-M_alt 'P 4/m m m'
_space_group_IT_number 123
_space_group_name_Hall '-P 4 2'
_cell_length_a 3.427
_cell_length_b 3.427
_cell_length_c 6.417
_cell_angle_alpha 90.00
_cell_angle_beta 90.00
_cell_angle_gamma 90.00
loop_
_atom_site_label
_atom_site_type_symbol
_atom_site_fract_x
_atom_site_fract_y
_atom_site_fract_z
Hf1 Hf 0.000 0.000 0.000
Ag1 Ag 0.000 0.000 0.500
Au1 Au 0.500 0.500 0.243
```

The calculation puts the total energy at -20.63 eV per cell. Its density is 15.0 Mg/m³. The formation energy is -0.317 eV per atom.

---

[4]
VASP calculation (PBE) on a relaxed structure of Hf2AgAu.

```
data_Hf2AgAu
_space_group_name_H-M_alt 'P 4/m m m'
_space_group_IT_number 123
_space_group_name_Hall '-P 4 2'
_cell_length_a 4.373
_cell_length_b 4.373
_cell_length_c 4.071
_cell_angle_alpha 90.00
_cell_angle_beta 90.00
_cell_angle_gamma 90.00
loop_
_atom_site_label
_atom_site_type_symbol
_atom_site_fract_x
_atom_site_fract_y
_atom_site_fract_z
Hf1 Hf 0.000 0.500 0.000
Ag1 Ag 0.000 0.000 0.500
Au1 Au 0.500 0.500 0.500
```

The calculation puts the total energy at -26.78 eV per cell. Its density is 14.1 Mg/m³. The formation energy is -0.185 eV per atom.